1.
Below is an optimized crystal structure of CaSmGaAg, with properties calculated at the PBE level.

Lattice parameters (Å, degrees): 5.2038 5.2038 5.2038 60.00 60.00 60.00
Last column: nearest neighbours and their distance in Å.
Atoms (fractional coordinates):
Ca1 0.0000 0.0000 0.0000  4 Ag 3.19, 4 Ga 3.19
Sm1 0.5000 0.5000 0.5000  4 Ag 3.19, 4 Ga 3.19
Ga1 0.2500 0.2500 0.2500  4 Ca 3.19, 4 Sm 3.19
Ag1 0.7500 0.7500 0.7500  4 Ca 3.19, 4 Sm 3.19

magnetic moment	0.00	μB/cell
ΔH_f (0 K)	-1.69	eV/f.u.
ρ	6.133	g/cm3
DOS at the Fermi energy	2.9	states/eV/f.u.
symmetry	F-43m, No. 216

***

2.
Below is an optimized crystal structure of TbSmPuCd, with properties calculated at the PBE level.

Lattice parameters (Å, degrees): 5.4474 5.4474 5.4474 60.00 60.00 60.00
Last column: nearest neighbours and their distance in Å.
Atoms (fractional coordinates):
Tb1 0.0000 0.0000 0.0000  4 Cd 3.34, 4 Pu 3.34
Sm1 0.5000 0.5000 0.5000  4 Cd 3.34, 4 Pu 3.34
Pu1 0.7500 0.7500 0.7500  4 Sm 3.34, 4 Tb 3.34
Cd1 0.2500 0.2500 0.2500  4 Tb 3.34, 4 Sm 3.34

magnetic moment	6.48	μB/cell
ΔH_f (0 K)	0.28	eV/f.u.
ρ	9.671	g/cm3
DOS at the Fermi energy	14.9	states/eV/f.u.
symmetry	F-43m, No. 216

***

3.
Below is an optimized crystal structure of Hf2BeRu, with properties calculated at the PBE level.

Lattice parameters (Å, degrees): 8.9687 8.9687 8.9687 19.50 19.50 19.50
Last column: nearest neighbours and their distance in Å.
Atoms (fractional coordinates):
Hf1 0.0925 0.0925 0.0925  1 Ru 2.44, 3 Be 2.63
Hf2 0.9075 0.9075 0.9075  1 Ru 2.44, 3 Be 2.63
Be1 0.5000 0.5000 0.5000  6 Hf 2.63
Ru1 0.0000 0.0000 0.0000  2 Hf 2.44

magnetic moment	0.00	μB/cell
ΔH_f (0 K)	1.15	eV/f.u.
ρ	11.036	g/cm3
DOS at the Fermi energy	0.5	states/eV/f.u.
symmetry	R-3m, No. 166

***

Which of these has the lowest ΔH_f (0 K)? CaSmGaAg